(w)
VASP calculation (PBE) on a relaxed structure of Th4SnRu2.

Cell and atoms, written as CIF:
```
data_Th4SnRu2
_chemical_formula_sum 'Th8 Sn2 Ru4'
_space_group_name_H-M_alt 'P 1'
_space_group_IT_number 1
_space_group_name_Hall 'P 1'
_cell_length_a 7.002
_cell_length_b 7.125
_cell_length_c 8.899
_cell_angle_alpha 107.51
_cell_angle_beta 106.99
_cell_angle_gamma 104.65
loop_
_atom_site_label
_atom_site_fract_x
_atom_site_fract_y
_atom_site_fract_z
_atom_site_occupancy
Th1 0.216 0.151 0.711 1
Ru1 0.112 0.558 0.928 1
Ru2 0.771 0.894 0.422 1
Ru3 0.598 0.221 0.076 1
Sn1 0.321 0.721 0.528 1
Th2 0.441 0.032 0.320 1
Th3 0.372 0.464 0.182 1
Th4 0.973 0.199 0.311 1
Th5 0.755 0.188 0.789 1
Th6 0.912 0.638 0.188 1
Sn2 0.047 0.944 0.972 1
Th7 0.820 0.599 0.591 1
Ru4 0.434 0.381 0.572 1
Th8 0.479 0.759 0.910 1
```

Computed properties:
Crystal system = triclinic
Theoretical density = 11.05 g/cm³



(x)
VASP calculation (PBE) on a relaxed structure of Th4SnRu2.

Cell and atoms, written as CIF:
```
data_Th4SnRu2
_chemical_formula_sum 'Th8 Sn2 Ru4'
_space_group_name_H-M_alt 'P 1'
_space_group_IT_number 1
_space_group_name_Hall 'P 1'
_cell_length_a 4.535
_cell_length_b 6.704
_cell_length_c 13.682
_cell_angle_alpha 90.00
_cell_angle_beta 90.00
_cell_angle_gamma 109.77
loop_
_atom_site_label
_atom_site_fract_x
_atom_site_fract_y
_atom_site_fract_z
_atom_site_occupancy
Th1 0.768 0.537 0.112 1
Th2 0.080 0.159 0.250 1
Ru1 0.113 0.225 0.446 1
Th3 0.232 0.463 0.612 1
Sn1 0.388 0.777 0.250 1
Th4 0.232 0.463 0.888 1
Sn2 0.612 0.223 0.750 1
Th5 0.768 0.537 0.388 1
Th6 0.500 0.000 0.500 1
Ru2 0.113 0.225 0.054 1
Ru3 0.887 0.775 0.946 1
Th7 0.500 0.000 0.000 1
Th8 0.920 0.841 0.750 1
Ru4 0.887 0.775 0.554 1
```

Computed properties:
Crystal system = orthorhombic
Theoretical density = 10.60 g/cm³



According to the calculations, the structures order from most to least stable as (x), (w).



(w)
VASP calculation (PBE) on a relaxed structure of TlSn2Ru2.

Cell and atoms, written as CIF:
```
data_TlSn2Ru2
_chemical_formula_sum 'Tl2 Sn4 Ru4'
_space_group_name_H-M_alt 'P 1'
_space_group_IT_number 1
_space_group_name_Hall 'P 1'
_cell_length_a 7.729
_cell_length_b 7.729
_cell_length_c 3.219
_cell_angle_alpha 90.00
_cell_angle_beta 90.00
_cell_angle_gamma 90.00
loop_
_atom_site_label
_atom_site_fract_x
_atom_site_fract_y
_atom_site_fract_z
_atom_site_occupancy
Ru1 0.648 0.148 0.000 1
Ru2 0.352 0.852 0.000 1
Ru3 0.852 0.648 0.000 1
Tl1 0.500 0.500 0.000 1
Sn1 0.647 0.853 0.500 1
Sn2 0.353 0.147 0.500 1
Tl2 0.000 0.000 0.000 1
Ru4 0.148 0.352 0.000 1
Sn3 0.853 0.353 0.500 1
Sn4 0.147 0.647 0.500 1
```

Computed properties:
Crystal system = tetragonal
Theoretical density = 11.12 g/cm³



(x)
VASP calculation (PBE) on a relaxed structure of TlSn2Ru2.

Cell and atoms, written as CIF:
```
data_TlSn2Ru2
_chemical_formula_sum 'Tl1 Sn2 Ru2'
_space_group_name_H-M_alt 'P 1'
_space_group_IT_number 1
_space_group_name_Hall 'P 1'
_cell_length_a 4.225
_cell_length_b 4.225
_cell_length_c 6.631
_cell_angle_alpha 71.42
_cell_angle_beta 71.42
_cell_angle_gamma 90.00
loop_
_atom_site_label
_atom_site_fract_x
_atom_site_fract_y
_atom_site_fract_z
_atom_site_occupancy
Sn1 0.750 0.250 0.500 1
Ru1 0.391 0.391 0.218 1
Ru2 0.609 0.609 0.782 1
Tl1 0.000 0.000 0.000 1
Sn2 0.250 0.750 0.500 1
```

Computed properties:
Crystal system = tetragonal
Theoretical density = 10.12 g/cm³



According to the calculations, the structures order from most to least stable as (w), (x).



(w)
VASP calculation (PBE) on a relaxed structure of Tl2SnRu.

Cell and atoms, written as CIF:
```
data_Tl2SnRu
_chemical_formula_sum 'Tl2 Sn1 Ru1'
_space_group_name_H-M_alt 'P 1'
_space_group_IT_number 1
_space_group_name_Hall 'P 1'
_cell_length_a 5.059
_cell_length_b 5.059
_cell_length_c 5.059
_cell_angle_alpha 60.00
_cell_angle_beta 60.00
_cell_angle_gamma 60.00
loop_
_atom_site_label
_atom_site_fract_x
_atom_site_fract_y
_atom_site_fract_z
_atom_site_occupancy
Sn1 0.500 0.500 0.500 1
Tl1 0.250 0.250 0.250 1
Tl2 0.750 0.750 0.750 1
Ru1 0.000 0.000 0.000 1
```

Computed properties:
Crystal system = cubic
Theoretical density = 11.40 g/cm³



(x)
VASP calculation (PBE) on a relaxed structure of Tl2SnRu.

Cell and atoms, written as CIF:
```
data_Tl2SnRu
_chemical_formula_sum 'Tl4 Sn2 Ru2'
_space_group_name_H-M_alt 'P 1'
_space_group_IT_number 1
_space_group_name_Hall 'P 1'
_cell_length_a 10.488
_cell_length_b 10.488
_cell_length_c 7.841
_cell_angle_alpha 48.02
_cell_angle_beta 48.02
_cell_angle_gamma 90.00
loop_
_atom_site_label
_atom_site_fract_x
_atom_site_fract_y
_atom_site_fract_z
_atom_site_occupancy
Tl1 0.875 0.626 0.750 1
Ru1 0.500 0.500 0.000 1
Tl2 0.376 0.125 0.250 1
Tl3 0.375 0.624 0.750 1
Sn1 0.000 0.000 0.000 1
Tl4 0.374 0.625 0.250 1
Ru2 0.250 0.750 0.500 1
Sn2 0.750 0.250 0.500 1
```

Computed properties:
Crystal system = tetragonal
Theoretical density = 7.46 g/cm³



According to the calculations, the structures order from most to least stable as (x), (w).



(w)
VASP calculation (PBE) on a relaxed structure of TlSn2Ru.

Cell and atoms, written as CIF:
```
data_TlSn2Ru
_chemical_formula_sum 'Tl1 Sn2 Ru1'
_space_group_name_H-M_alt 'P 1'
_space_group_IT_number 1
_space_group_name_Hall 'P 1'
_cell_length_a 3.346
_cell_length_b 3.346
_cell_length_c 10.230
_cell_angle_alpha 80.59
_cell_angle_beta 80.59
_cell_angle_gamma 60.00
loop_
_atom_site_label
_atom_site_fract_x
_atom_site_fract_y
_atom_site_fract_z
_atom_site_occupancy
Sn1 0.897 0.897 0.310 1
Tl1 0.000 0.000 0.000 1
Ru1 0.500 0.500 0.500 1
Sn2 0.103 0.103 0.690 1
```

Computed properties:
Crystal system = trigonal
Theoretical density = 9.26 g/cm³



(x)
VASP calculation (PBE) on a relaxed structure of TlSn2Ru.

Cell and atoms, written as CIF:
```
data_TlSn2Ru
_chemical_formula_sum 'Tl1 Sn2 Ru1'
_space_group_name_H-M_alt 'P 1'
_space_group_IT_number 1
_space_group_name_Hall 'P 1'
_cell_length_a 5.008
_cell_length_b 5.008
_cell_length_c 5.008
_cell_angle_alpha 60.00
_cell_angle_beta 60.00
_cell_angle_gamma 60.00
loop_
_atom_site_label
_atom_site_fract_x
_atom_site_fract_y
_atom_site_fract_z
_atom_site_occupancy
Sn1 0.750 0.750 0.750 1
Sn2 0.250 0.250 0.250 1
Tl1 0.500 0.500 0.500 1
Ru1 0.000 0.000 0.000 1
```

Computed properties:
Crystal system = cubic
Theoretical density = 10.15 g/cm³



(y)
VASP calculation (PBE) on a relaxed structure of TlSn2Ru.

Cell and atoms, written as CIF:
```
data_TlSn2Ru
_chemical_formula_sum 'Tl2 Sn4 Ru2'
_space_group_name_H-M_alt 'P 1'
_space_group_IT_number 1
_space_group_name_Hall 'P 1'
_cell_length_a 5.489
_cell_length_b 5.489
_cell_length_c 8.957
_cell_angle_alpha 72.15
_cell_angle_beta 72.15
_cell_angle_gamma 90.00
loop_
_atom_site_label
_atom_site_fract_x
_atom_site_fract_y
_atom_site_fract_z
_atom_site_occupancy
Tl1 0.000 0.000 0.000 1
Sn1 0.227 0.625 0.250 1
Sn2 0.875 0.773 0.750 1
Tl2 0.750 0.250 0.500 1
Sn3 0.523 0.125 0.250 1
Ru1 0.250 0.750 0.500 1
Ru2 0.500 0.500 0.000 1
Sn4 0.375 0.477 0.750 1
```

Computed properties:
Crystal system = tetragonal
Theoretical density = 7.41 g/cm³



According to the calculations, the structures order from most to least stable as (w), (y), (x).



(w)
VASP calculation (PBE) on a relaxed structure of TlSn3Ru.

Cell and atoms, written as CIF:
```
data_TlSn3Ru
_chemical_formula_sum 'Tl1 Sn3 Ru1'
_space_group_name_H-M_alt 'P 1'
_space_group_IT_number 1
_space_group_name_Hall 'P 1'
_cell_length_a 5.174
_cell_length_b 5.174
_cell_length_c 5.174
_cell_angle_alpha 90.00
_cell_angle_beta 90.00
_cell_angle_gamma 90.00
loop_
_atom_site_label
_atom_site_fract_x
_atom_site_fract_y
_atom_site_fract_z
_atom_site_occupancy
Sn1 0.500 0.000 0.000 1
Tl1 0.500 0.500 0.500 1
Ru1 0.000 0.000 0.000 1
Sn2 0.000 0.000 0.500 1
Sn3 0.000 0.500 0.000 1
```

Computed properties:
Crystal system = cubic
Theoretical density = 7.93 g/cm³



(x)
VASP calculation (PBE) on a relaxed structure of TlSn3Ru.

Cell and atoms, written as CIF:
```
data_TlSn3Ru
_chemical_formula_sum 'Tl1 Sn3 Ru1'
_space_group_name_H-M_alt 'P 1'
_space_group_IT_number 1
_space_group_name_Hall 'P 1'
_cell_length_a 5.602
_cell_length_b 5.602
_cell_length_c 5.602
_cell_angle_alpha 90.00
_cell_angle_beta 90.00
_cell_angle_gamma 90.00
loop_
_atom_site_label
_atom_site_fract_x
_atom_site_fract_y
_atom_site_fract_z
_atom_site_occupancy
Sn1 0.000 0.000 0.500 1
Tl1 0.000 0.000 0.000 1
Sn2 0.000 0.500 0.000 1
Sn3 0.500 0.000 0.000 1
Ru1 0.500 0.500 0.500 1
```

Computed properties:
Crystal system = cubic
Theoretical density = 6.25 g/cm³



According to the calculations, the structures order from most to least stable as (w), (x).



(w)
VASP calculation (PBE) on a relaxed structure of Tm2SnRu.

Cell and atoms, written as CIF:
```
data_Tm2SnRu
_chemical_formula_sum 'Tm2 Sn1 Ru1'
_space_group_name_H-M_alt 'P 1'
_space_group_IT_number 1
_space_group_name_Hall 'P 1'
_cell_length_a 3.785
_cell_length_b 4.818
_cell_length_c 4.818
_cell_angle_alpha 90.00
_cell_angle_beta 90.00
_cell_angle_gamma 90.00
loop_
_atom_site_label
_atom_site_fract_x
_atom_site_fract_y
_atom_site_fract_z
_atom_site_occupancy
Ru1 0.500 0.000 0.000 1
Tm1 0.000 0.500 0.000 1
Tm2 0.000 0.000 0.500 1
Sn1 0.500 0.500 0.500 1
```

Computed properties:
Crystal system = tetragonal
Theoretical density = 10.54 g/cm³



(x)
VASP calculation (PBE) on a relaxed structure of Tm2SnRu.

Cell and atoms, written as CIF:
```
data_Tm2SnRu
_chemical_formula_sum 'Tm2 Sn1 Ru1'
_space_group_name_H-M_alt 'P 1'
_space_group_IT_number 1
_space_group_name_Hall 'P 1'
_cell_length_a 3.354
_cell_length_b 3.354
_cell_length_c 8.050
_cell_angle_alpha 90.00
_cell_angle_beta 90.00
_cell_angle_gamma 90.00
loop_
_atom_site_label
_atom_site_fract_x
_atom_site_fract_y
_atom_site_fract_z
_atom_site_occupancy
Tm1 0.000 0.000 0.205 1
Tm2 0.000 0.000 0.795 1
Ru1 0.500 0.500 0.000 1
Sn1 0.500 0.500 0.500 1
```

Computed properties:
Crystal system = tetragonal
Theoretical density = 10.23 g/cm³



(y)
VASP calculation (PBE) on a relaxed structure of Tm2SnRu.

Cell and atoms, written as CIF:
```
data_Tm2SnRu
_chemical_formula_sum 'Tm2 Sn1 Ru1'
_space_group_name_H-M_alt 'P 1'
_space_group_IT_number 1
_space_group_name_Hall 'P 1'
_cell_length_a 5.003
_cell_length_b 5.003
_cell_length_c 5.003
_cell_angle_alpha 60.00
_cell_angle_beta 60.00
_cell_angle_gamma 60.00
loop_
_atom_site_label
_atom_site_fract_x
_atom_site_fract_y
_atom_site_fract_z
_atom_site_occupancy
Tm1 0.250 0.250 0.250 1
Sn1 0.000 0.000 0.000 1
Tm2 0.750 0.750 0.750 1
Ru1 0.500 0.500 0.500 1
```

Computed properties:
Crystal system = cubic
Theoretical density = 10.46 g/cm³



According to the calculations, the structures order from most to least stable as (x), (w), (y).